# 1
# Sc2TaB | Alexandria | PBE | optimized geometry
# Energy of formation from the pure elements ... 90 kJ per mole of atoms
data_Sc2TaB
_chemical_formula_sum 'Sc6 Ta3 B3'
_cell_length_a 3.0849
_cell_length_b 3.0849
_cell_length_c 28.9656
_cell_angle_alpha 90.00
_cell_angle_beta 90.00
_cell_angle_gamma 120.00
_symmetry_space_group_name_H-M 'R -3 m'
_symmetry_Int_Tables_number 166
_symmetry_space_group_name_Hall '-R 3 2"'
loop_
_atom_site_label
_atom_site_type_symbol
_atom_site_fract_x
_atom_site_fract_y
_atom_site_fract_z
Sc1 Sc 0.0000 0.0000 0.0829
Ta1 Ta 0.0000 0.0000 0.5000
B1 B 0.0000 0.0000 0.0000

# 2
# La3Pm4Ho | Alexandria | PBE | optimized geometry
# Energy of formation from the pure elements ... 11 kJ per mole of atoms
# Offset from the most stable computed form ... 110.8 meV per atom
data_La3Pm4Ho
_chemical_formula_sum 'La6 Pm8 Ho2'
_cell_length_a 3.5561
_cell_length_b 11.9579
_cell_length_c 13.3265
_cell_angle_alpha 90.00
_cell_angle_beta 90.00
_cell_angle_gamma 90.00
_symmetry_space_group_name_H-M 'I m m m'
_symmetry_Int_Tables_number 71
_symmetry_space_group_name_Hall '-I 2 2'
loop_
_atom_site_label
_atom_site_type_symbol
_atom_site_fract_x
_atom_site_fract_y
_atom_site_fract_z
La1 La 0.0000 0.0000 0.0000
La2 La 0.0000 0.5000 0.2412
Pm1 Pm 0.0000 0.2465 0.3667
Ho1 Ho 0.0000 0.0000 0.5000

# 3
# NaTbGe2Br8 | Alexandria | PBE | optimized geometry
# ΔE_f (raw) ... -1.14 eV per atom
data_NaTbGe2Br8
_chemical_formula_sum 'Na1 Tb1 Ge2 Br8'
_cell_length_a 6.6180
_cell_length_b 7.0320
_cell_length_c 8.5597
_cell_angle_alpha 88.51
_cell_angle_beta 89.18
_cell_angle_gamma 87.90
_symmetry_space_group_name_H-M 'P -1'
_symmetry_Int_Tables_number 2
_symmetry_space_group_name_Hall '-P 1'
loop_
_atom_site_label
_atom_site_type_symbol
_atom_site_fract_x
_atom_site_fract_y
_atom_site_fract_z
Na1 Na 0.0000 0.0000 0.0000
Tb1 Tb 0.0000 0.0000 0.5000
Ge1 Ge 0.4735 0.4734 0.2415
Br1 Br 0.2281 0.8238 0.2606
Br2 Br 0.2477 0.3240 0.4796
Br3 Br 0.2512 0.8484 0.7409
Br4 Br 0.2760 0.3477 0.0171

# 4
# Na5Zr3H12 | Alexandria | PBE | optimized geometry
# Total energy ... -3.75 eV per atom
data_Na5Zr3H12
_chemical_formula_sum 'Na40 Zr24 H96'
_cell_length_a 12.1655
_cell_length_b 12.1655
_cell_length_c 12.1655
_cell_angle_alpha 90.00
_cell_angle_beta 90.00
_cell_angle_gamma 90.00
_symmetry_space_group_name_H-M 'I a -3 d'
_symmetry_Int_Tables_number 230
_symmetry_space_group_name_Hall '-I 4bd 2c 3'
loop_
_atom_site_label
_atom_site_type_symbol
_atom_site_fract_x
_atom_site_fract_y
_atom_site_fract_z
Na1 Na 0.0000 0.0000 0.0000
Na2 Na 0.0000 0.2500 0.3750
Zr1 Zr 0.0000 0.2500 0.1250
H1 H 0.0068 0.0795 0.6596

# 5
# Ca2CuRh | Alexandria | PBE | optimized geometry
# Energy of formation from the pure elements ... 1 kJ per mole of atoms
data_Ca2CuRh
_chemical_formula_sum 'Ca4 Cu2 Rh2'
_cell_length_a 7.6467
_cell_length_b 3.3777
_cell_length_c 7.4236
_cell_angle_alpha 90.00
_cell_angle_beta 99.96
_cell_angle_gamma 90.00
_symmetry_space_group_name_H-M 'C 1 2/m 1'
_symmetry_Int_Tables_number 12
_symmetry_space_group_name_Hall '-C 2y'
loop_
_atom_site_label
_atom_site_type_symbol
_atom_site_fract_x
_atom_site_fract_y
_atom_site_fract_z
Ca1 Ca 0.2465 0.0000 0.2282
Cu1 Cu 0.0000 0.0000 0.5000
Rh1 Rh 0.0000 0.5000 0.0000

# 6
# Zn2SeBr | Alexandria | PBE | optimized geometry
# ΔE_f (raw) ... -0.35 eV per atom
# Offset from the most stable computed form ... 8.5 meV per atom
data_Zn2SeBr
_chemical_formula_sum 'Zn4 Se2 Br2'
_cell_length_a 6.8042
_cell_length_b 3.9623
_cell_length_c 6.7860
_cell_angle_alpha 90.00
_cell_angle_beta 108.87
_cell_angle_gamma 90.00
_symmetry_space_group_name_H-M 'C 1 2/m 1'
_symmetry_Int_Tables_number 12
_symmetry_space_group_name_Hall '-C 2y'
loop_
_atom_site_label
_atom_site_type_symbol
_atom_site_fract_x
_atom_site_fract_y
_atom_site_fract_z
Zn1 Zn 0.2336 0.0000 0.2118
Se1 Se 0.0000 0.5000 0.0000
Br1 Br 0.0000 0.0000 0.5000